Record 1
Material: PmPr5Tl2
Method: DFT, GGA-PBE
State: optimized geometry

Cell lengths 5.651, 5.651, 20.492 Å; angles 90.00, 90.00, 120.00 degrees
Fractional positions:
Pm 0.333 0.667 0.250
Pm 0.667 0.333 0.750
Pr 0.000 0.000 0.161
Pr 0.000 0.000 0.339
Pr 0.000 0.000 0.661
Pr 0.000 0.000 0.839
Pr 0.333 0.667 0.564
Pr 0.333 0.667 0.750
Pr 0.333 0.667 0.936
Pr 0.667 0.333 0.064
Pr 0.667 0.333 0.250
Pr 0.667 0.333 0.436
Tl 0.333 0.667 0.094
Tl 0.333 0.667 0.406
Tl 0.667 0.333 0.594
Tl 0.667 0.333 0.906

energy relative to the elements = -0.0670 eV per atom
calculated total energy = -4.240 eV/atom
space group = P6_3/mmc (194)
offset from the most stable computed form = 57.4 meV per atom

Record 2
Material: PmPr2Tl3
Method: DFT, GGA-PBE
State: optimized geometry

Cell lengths 3.901, 3.901, 11.856 Å; angles 90.00, 90.00, 90.00 degrees
Fractional positions:
Pm 0.000 0.000 0.000
Pr 0.000 0.000 0.331
Pr 0.000 0.000 0.669
Tl 0.500 0.500 0.162
Tl 0.500 0.500 0.500
Tl 0.500 0.500 0.838

energy relative to the elements = -0.3943 eV per atom
calculated total energy = -3.962 eV/atom
space group = P4/mmm (123)

Question: The highest calculated total energy belongs to which entry?
Answer: PmPr2Tl3

Repeat the first record exactly.
Material: PmPr5Tl2
Method: DFT, GGA-PBE
State: optimized geometry

Cell lengths 5.651, 5.651, 20.492 Å; angles 90.00, 90.00, 120.00 degrees
Fractional positions:
Pm 0.333 0.667 0.250
Pm 0.667 0.333 0.750
Pr 0.000 0.000 0.161
Pr 0.000 0.000 0.339
Pr 0.000 0.000 0.661
Pr 0.000 0.000 0.839
Pr 0.333 0.667 0.564
Pr 0.333 0.667 0.750
Pr 0.333 0.667 0.936
Pr 0.667 0.333 0.064
Pr 0.667 0.333 0.250
Pr 0.667 0.333 0.436
Tl 0.333 0.667 0.094
Tl 0.333 0.667 0.406
Tl 0.667 0.333 0.594
Tl 0.667 0.333 0.906

energy relative to the elements = -0.0670 eV per atom
calculated total energy = -4.240 eV/atom
space group = P6_3/mmc (194)
offset from the most stable computed form = 57.4 meV per atom